KTaTl2: relaxed, GGA-PBE.

a b c (Å): 7.6367 7.6367 7.6367
angles (deg): 90.00 90.00 90.00
With the nearest neighbours (Å) after each atom.
Fractional positions:
K1 0.0000 0.0000 0.0000  4 Tl 3.31, 4 Ta 3.31
K2 0.0000 0.5000 0.5000  4 Tl 3.31, 4 Ta 3.31
K3 0.5000 0.0000 0.5000  4 Tl 3.31, 4 Ta 3.31
K4 0.5000 0.5000 0.0000  4 Tl 3.31, 4 Ta 3.31
Ta1 0.2500 0.2500 0.7500  4 Tl 3.31, 4 K 3.31
Ta2 0.2500 0.7500 0.2500  4 Tl 3.31, 4 K 3.31
Ta3 0.7500 0.2500 0.2500  4 Tl 3.31, 4 K 3.31
Ta4 0.7500 0.7500 0.7500  4 Tl 3.31, 4 K 3.31
Tl1 0.0000 0.0000 0.5000  4 Ta 3.31, 4 Tl 3.31
Tl2 0.0000 0.5000 0.0000  4 Ta 3.31, 4 Tl 3.31
Tl3 0.2500 0.2500 0.2500  4 Tl 3.31, 4 K 3.31
Tl4 0.2500 0.7500 0.7500  4 Tl 3.31, 4 K 3.31
Tl5 0.5000 0.0000 0.0000  4 Ta 3.31, 4 Tl 3.31
Tl6 0.5000 0.5000 0.5000  4 Ta 3.31, 4 Tl 3.31
Tl7 0.7500 0.2500 0.7500  4 Tl 3.31, 4 K 3.31
Tl8 0.7500 0.7500 0.2500  4 Tl 3.31, 4 K 3.31

Properties
- Total energy: -52.554 eV for the cell shown
- E_form: 1.14 eV per atom
- D(E_F): 15.46 states/eV/cell
- Space group: F-43m
- Volume: 27.8 Å³ per atom